This record from Alexandria describes TbPm6Sn3 after structural relaxation. The functional is PBE. Values from VASP.

Computed properties:
- crystal system = orthorhombic
- energy of formation from the pure elements (eV per atom) = -0.36
- total magnetization (μB/cell) = 0.00

```
&SYSTEM
  ibrav = 0, nat = 20, ntyp = 3
/
ATOMIC_SPECIES
Tb 158.93 Tb.upf
Pm 145.00 Pm.upf
Sn 118.71 Sn.upf
ATOMIC_POSITIONS angstrom
Tb 5.5063 4.5118 3.8824
Tb 5.5063 -4.5118 0.0000
Pm 5.5063 6.9407 6.4097
Pm 2.8655 3.0144 2.4441
Pm 3.1934 0.5633 7.7449
Pm 5.5063 3.2797 7.5806
Pm 3.1934 -0.5633 3.8625
Pm 2.8655 -3.0144 6.3265
Pm 8.1472 3.0144 2.4441
Pm 7.8192 0.5633 7.7449
Pm 5.5063 -3.2797 3.6982
Pm 7.8192 -0.5633 3.8625
Pm 8.1472 -3.0144 6.3265
Pm 5.5063 -6.9407 2.5273
Sn 1.5679 1.8760 5.2117
Sn 1.5679 -1.8760 1.3293
Sn 5.5063 1.1835 2.2815
Sn 5.5063 -1.1835 6.1639
Sn 9.4447 1.8760 5.2117
Sn 9.4447 -1.8760 1.3293
CELL_PARAMETERS angstrom
5.5063 -7.6781 0.0000
5.5063 7.6781 0.0000
0.0000 0.0000 7.7648
```


This record from Alexandria describes Tb2PmSn after structural relaxation. The functional is PBE. Values from VASP.

Computed properties:
- excess energy over the best structure of this formula in the dataset (eV/f.u.) = 0.00
- crystal system = tetragonal
- energy of formation from the pure elements (eV per atom) = -0.43
- total magnetization (μB/cell) = 0.00

```
&SYSTEM
  ibrav = 0, nat = 4, ntyp = 3
/
ATOMIC_SPECIES
Tb 158.93 Tb.upf
Pm 145.00 Pm.upf
Sn 118.71 Sn.upf
ATOMIC_POSITIONS angstrom
Tb 0.0000 2.4321 0.0000
Tb 2.4321 0.0000 0.0000
Pm 0.0000 0.0000 2.4205
Sn 2.4321 2.4321 2.4205
CELL_PARAMETERS angstrom
4.8642 0.0000 0.0000
0.0000 4.8642 0.0000
0.0000 0.0000 4.8411
```